# 1
YBeAl | Alexandria | GGA-PBEsol | optimized geometry; energy above the lowest structure with this stoichiometry = 0 kJ/mol of formula units
1.0
4.244 0.000 0.000
-2.122 3.675 0.000
0.000 0.000 3.563
Y Be Al
1 1 1
direct
0.000 0.000 0.000
0.667 0.333 0.500
0.333 0.667 0.500

# 2
YBeAl | Alexandria | GGA-PBEsol | optimized geometry; energy above the lowest structure with this stoichiometry = 23 kJ/mol of formula units
1.0
0.000 3.060 3.060
3.060 0.000 3.060
3.060 3.060 0.000
Y Be Al
1 1 1
direct
0.000 0.000 0.000
0.250 0.250 0.250
0.500 0.500 0.500

# 3
Y2BeAl | Alexandria | GGA-PBEsol | optimized geometry; energy above the lowest structure with this stoichiometry = 0 kJ/mol of formula units
1.0
1.768 1.021 8.593
-1.768 1.021 8.593
0.000 -2.041 8.593
Y Be Al
2 1 1
direct
0.243 0.243 0.243
0.757 0.757 0.757
0.500 0.500 0.500
0.000 0.000 0.000

# 4
Y2BeAl | Alexandria | GGA-PBEsol | optimized geometry; energy above the lowest structure with this stoichiometry = 7 kJ/mol of formula units
1.0
4.417 -1.753 0.000
4.417 1.753 0.000
-1.410 0.000 6.026
Y Be Al
2 1 1
direct
0.243 0.243 0.234
0.757 0.757 0.766
0.500 0.500 0.000
0.000 0.000 0.500

# 5
YBe2Al | Alexandria | GGA-PBEsol | optimized geometry; E = -4.877 eV/atom
1.0
1.903 1.099 5.181
-1.903 1.099 5.181
0.000 -2.197 5.181
Y Be Al
1 2 1
direct
0.000 0.000 0.000
0.206 0.206 0.206
0.533 0.533 0.533
0.803 0.803 0.803

# 6
BeAl2Zn | Alexandria | GGA-PBEsol | optimized geometry; energy above the lowest structure with this stoichiometry = 18 kJ/mol of formula units
1.0
-1.321 1.963 5.726
1.321 -1.963 5.726
1.321 1.963 -5.726
Be Al Zn
1 2 1
direct
0.000 0.000 0.000
0.186 0.686 0.500
0.814 0.314 0.500
0.500 0.500 0.000

| no. | total moment (μB per formula unit) |
| --- | --- |
| 1 | 0.000 |
| 2 | 0.000 |
| 3 | 0.000 |
| 4 | 0.000 |
| 5 | 0.000 |
| 6 | 0.000 |